1.
First-principles (PBE) data for a relaxed Ac5GaGe2 crystal, as listed in Alexandria via LeMat-Bulk.

Cell: 9.2863 9.2863 9.2863 Å, 152.20 129.46 58.66°
Positions (direct):
Ac  0.0000  0.0000  0.0000
Ac  0.1369  0.3601  0.7768
Ac  0.4167  0.6399  0.7768
Ac  0.5833  0.3601  0.2232
Ac  0.8631  0.6399  0.2232
Ga  0.5000  0.0000  0.5000
Ge  0.1948  0.1948  0.0000
Ge  0.8052  0.8052  0.0000

## Properties
DFT formation energy, eV per atom: -0.413
Total moment, μB per formula unit: 0.0
N(E_F), states/eV/f.u.: 6.95
Symmetry: Immm, No. 71

2.
First-principles (PBE) data for a relaxed Ac2Ga2Ge crystal, as listed in Alexandria via LeMat-Bulk.

Cell: 6.3513 6.3513 11.6353 Å, 111.68 111.68 40.71°
Positions (direct):
Ac  0.0963  0.0963  0.4012
Ac  0.2933  0.2933  0.8603
Ac  0.7067  0.7067  0.1397
Ac  0.9037  0.9037  0.5988
Ga  0.0151  0.0151  0.9002
Ga  0.3632  0.3632  0.3734
Ga  0.6368  0.6368  0.6266
Ga  0.9849  0.9849  0.0998
Ge  0.4286  0.4286  0.1820
Ge  0.5714  0.5714  0.8180

## Properties
DFT formation energy, eV per atom: -0.610
Total moment, μB per formula unit: 0.0
N(E_F), states/eV/f.u.: 3.17
Symmetry: C2/m, No. 12

3.
First-principles (PBE) data for a relaxed AcGa3Ge crystal, as listed in Alexandria via LeMat-Bulk.

Cell: 11.6002 11.6002 4.4448 Å, 90.00 90.00 157.00°
Positions (direct):
Ac  0.0825  0.9175  0.7500
Ac  0.9175  0.0825  0.2500
Ga  0.3021  0.6979  0.2500
Ga  0.3627  0.6373  0.7500
Ga  0.4733  0.5267  0.7500
Ga  0.5267  0.4733  0.2500
Ga  0.6373  0.3627  0.2500
Ga  0.6979  0.3021  0.7500
Ge  0.1926  0.8074  0.2500
Ge  0.8074  0.1926  0.7500

## Properties
DFT formation energy, eV per atom: -0.382
Total moment, μB per formula unit: 0.0
N(E_F), states/eV/f.u.: 2.08
Symmetry: Cmcm, No. 63

4.
First-principles (PBE) data for a relaxed Ac4GaGe crystal, as listed in Alexandria via LeMat-Bulk.

Cell: 5.4027 5.4027 7.6619 Å, 90.00 90.00 90.00°
Positions (direct):
Ac  0.0000  0.5000  0.2503
Ac  0.0000  0.5000  0.7497
Ac  0.5000  0.0000  0.2503
Ac  0.5000  0.0000  0.7497
Ga  0.0000  0.0000  0.0000
Ge  0.5000  0.5000  0.5000

## Properties
DFT formation energy, eV per atom: -0.309
Total moment, μB per formula unit: 0.0
N(E_F), states/eV/f.u.: 9.00
Symmetry: P4/mmm, No. 123

5.
First-principles (PBE) data for a relaxed AcGaGe crystal, as listed in Alexandria via LeMat-Bulk.

Cell: 4.3756 6.2362 6.0643 Å, 90.00 111.07 90.00°
Positions (direct):
Ac  0.1831  0.2500  0.3676
Ac  0.8169  0.7500  0.6324
Ga  0.5000  0.0000  0.0000
Ga  0.5000  0.5000  0.0000
Ge  0.1024  0.7500  0.2038
Ge  0.8976  0.2500  0.7962

## Properties
DFT formation energy, eV per atom: -0.539
Total moment, μB per formula unit: 0.0
N(E_F), states/eV/f.u.: 1.56
Symmetry: P2_1/m, No. 11

6.
First-principles (PBE) data for a relaxed Ac3Ga2Ge crystal, as listed in Alexandria via LeMat-Bulk.

Cell: 9.9872 9.9872 9.2447 Å, 99.34 99.34 24.84°
Positions (direct):
Ac  0.0806  0.0806  0.2384
Ac  0.2372  0.2372  0.6817
Ac  0.3966  0.3966  0.1332
Ac  0.6034  0.6034  0.8668
Ac  0.7628  0.7628  0.3183
Ac  0.9194  0.9194  0.7616
Ga  0.0600  0.0600  0.5882
Ga  0.2166  0.2166  0.0405
Ga  0.7834  0.7834  0.9595
Ga  0.9400  0.9400  0.4118
Ge  0.3717  0.3717  0.4984
Ge  0.6283  0.6283  0.5016

## Properties
DFT formation energy, eV per atom: -0.476
Total moment, μB per formula unit: 0.2
N(E_F), states/eV/f.u.: 5.14
Symmetry: C2/m, No. 12

7.
First-principles (PBE) data for a relaxed Ac3Ga2Ge crystal, as listed in Alexandria via LeMat-Bulk.

Cell: 12.9758 4.4003 13.2292 Å, 90.00 90.00 90.00°
Positions (direct):
Ac  0.0676  0.2500  0.1226
Ac  0.1159  0.7500  0.5524
Ac  0.2015  0.2500  0.7923
Ac  0.2985  0.7500  0.2923
Ac  0.3841  0.2500  0.0524
Ac  0.4324  0.7500  0.6226
Ac  0.5676  0.2500  0.3774
Ac  0.6159  0.7500  0.9476
Ac  0.7015  0.2500  0.7077
Ac  0.7985  0.7500  0.2077
Ac  0.8841  0.2500  0.4476
Ac  0.9324  0.7500  0.8774
Ga  0.0283  0.7500  0.3108
Ga  0.1929  0.7500  0.9865
Ga  0.3071  0.2500  0.4865
Ga  0.4717  0.2500  0.8108
Ga  0.5283  0.7500  0.1892
Ga  0.6929  0.7500  0.5135
Ga  0.8071  0.2500  0.0135
Ga  0.9717  0.2500  0.6892
Ge  0.1333  0.2500  0.3678
Ge  0.3667  0.7500  0.8678
Ge  0.6333  0.2500  0.1322
Ge  0.8667  0.7500  0.6322

## Properties
DFT formation energy, eV per atom: -0.520
Total moment, μB per formula unit: 0.2
N(E_F), states/eV/f.u.: 6.08
Symmetry: Pnma, No. 62

8.
First-principles (PBE) data for a relaxed Ac4GaGe2 crystal, as listed in Alexandria via LeMat-Bulk.

Cell: 9.3078 9.3078 9.3078 Å, 144.41 144.41 51.21°
Positions (direct):
Ac  0.0000  0.5000  0.5000
Ac  0.1903  0.1903  0.0000
Ac  0.5000  0.0000  0.5000
Ac  0.8097  0.8097  0.0000
Ga  0.0000  0.0000  0.0000
Ge  0.3761  0.3761  0.0000
Ge  0.6239  0.6239  0.0000

## Properties
DFT formation energy, eV per atom: -0.137
Total moment, μB per formula unit: 0.0
N(E_F), states/eV/f.u.: 8.14
Symmetry: I4/mmm, No. 139

Please write out number 6 again, unchanged.
First-principles (PBE) data for a relaxed Ac3Ga2Ge crystal, as listed in Alexandria via LeMat-Bulk.

Cell: 9.9872 9.9872 9.2447 Å, 99.34 99.34 24.84°
Positions (direct):
Ac  0.0806  0.0806  0.2384
Ac  0.2372  0.2372  0.6817
Ac  0.3966  0.3966  0.1332
Ac  0.6034  0.6034  0.8668
Ac  0.7628  0.7628  0.3183
Ac  0.9194  0.9194  0.7616
Ga  0.0600  0.0600  0.5882
Ga  0.2166  0.2166  0.0405
Ga  0.7834  0.7834  0.9595
Ga  0.9400  0.9400  0.4118
Ge  0.3717  0.3717  0.4984
Ge  0.6283  0.6283  0.5016

## Properties
DFT formation energy, eV per atom: -0.476
Total moment, μB per formula unit: 0.2
N(E_F), states/eV/f.u.: 5.14
Symmetry: C2/m, No. 12